Below is CeFeO3 after structural relaxation, with properties calculated at the PBE with a Hubbard U level.

Properties
For the energy, the calculation gives -7.557 eV per atom.

Structure (CIF):
```
data_CeFeO3
_space_group_name_H-M_alt 'P m -3 m'
_space_group_IT_number 221
_space_group_name_Hall '-P 4 2 3'
_cell_length_a 3.9361
_cell_length_b 3.9361
_cell_length_c 3.9361
_cell_angle_alpha 90.00
_cell_angle_beta 90.00
_cell_angle_gamma 90.00
loop_
_atom_site_label
_atom_site_type_symbol
_atom_site_fract_x
_atom_site_fract_y
_atom_site_fract_z
Ce1 Ce 0.0000 0.0000 0.0000
Fe1 Fe 0.5000 0.5000 0.5000
O1 O 0.0000 0.5000 0.5000
```